Entry 1:
First-principles (PBEsol) data for Y2TaSb after structural relaxation, as listed in Alexandria via LeMat-Bulk. Values from VASP.

Cell and atoms, written as Quantum ESPRESSO input:
```
&SYSTEM
  ibrav = 0, nat = 4, ntyp = 3
/
ATOMIC_SPECIES
Y 88.91 Y.upf
Ta 180.95 Ta.upf
Sb 121.76 Sb.upf
ATOMIC_POSITIONS crystal
Y 0.401 0.500 0.801
Y 0.105 0.000 0.209
Ta 0.675 0.500 0.351
Sb 0.824 0.000 0.647
CELL_PARAMETERS angstrom
3.916 0.000 0.000
0.000 4.532 0.000
-1.958 0.000 5.641
```

Properties
formation energy from raw total energies: -22 kJ per mole of atoms

=====

Entry 2:
First-principles (PBEsol) data for SrLiAl4 after structural relaxation, as listed in Alexandria via LeMat-Bulk. Values from VASP.

Cell and atoms, written as Quantum ESPRESSO input:
```
&SYSTEM
  ibrav = 0, nat = 6, ntyp = 3
/
ATOMIC_SPECIES
Sr 87.62 Sr.upf
Al 26.98 Al.upf
Li 6.94 Li.upf
ATOMIC_POSITIONS crystal
Sr 0.000 0.000 0.000
Al 0.375 0.375 0.875
Al 0.375 0.375 0.375
Al 0.375 0.875 0.375
Al 0.875 0.375 0.375
Li 0.750 0.750 0.750
CELL_PARAMETERS angstrom
-3.657 2.909 -3.113
-1.261 -1.724 -5.193
-5.077 -2.135 -1.094
```

Properties
ΔH_f (0 K): -0.123 eV per atom

=====

Entry 3:
First-principles (PBEsol) data for Ce2BiN after structural relaxation, as listed in Alexandria via LeMat-Bulk. Values from VASP.

Cell and atoms, written as Quantum ESPRESSO input:
```
&SYSTEM
  ibrav = 0, nat = 8, ntyp = 3
/
ATOMIC_SPECIES
Ce 140.12 Ce.upf
Bi 208.98 Bi.upf
N 14.01 N.upf
ATOMIC_POSITIONS crystal
Ce 0.000 0.000 0.000
Ce 0.500 0.500 0.000
Ce 0.500 0.000 0.332
Ce 0.000 0.500 0.668
Bi 0.000 0.500 0.298
Bi 0.500 0.000 0.702
N 0.500 0.000 0.091
N 0.000 0.500 0.909
CELL_PARAMETERS angstrom
4.607 0.000 0.000
0.000 4.607 0.000
0.000 0.000 9.057
```

Properties
formation energy from raw total energies: -112 kJ per mole of atoms

=====

no.,E_tot (eV per atom)
1,-7.91
2,-3.49
3,-7.66